No. 1
The following is a DFT calculation (PBE-GGA) of a relaxed AlCoTe2 crystal.

a b c (Å): 4.9146 4.9146 4.8089
angles (deg): 68.60 68.60 104.08
Fractional coordinates of all 4 atoms:
1 Te 0.0000 0.0000 0.0000
2 Te 0.5000 0.5000 0.0000
3 Co 0.0000 0.5000 0.5000
4 Al 0.5000 0.0000 0.5000

Values from the calculation:
energy = -3.948 eV/atom
formation energy (no corrections) = 0.33 eV per atom
D(E_F) = 4.9 states/eV per cell
total magnetization = 1.11 μB/f.u.

=====

No. 2
The following is a DFT calculation (PBE-GGA) of a relaxed GdDyRu crystal.

a b c (Å): 3.4110 3.4110 6.9844
angles (deg): 104.13 104.13 90.00
Fractional coordinates of all 3 atoms:
1 Ru 0.6652 0.6652 0.3304
2 Gd 0.2940 0.2940 0.5880
3 Dy 0.0408 0.0408 0.0816

Values from the calculation:
energy above the most stable polymorph in this dataset = 0.000 eV per atom
energy = -9.632 eV/atom
energy of formation from the pure elements = -313 meV/atom
D(E_F) = 1.6 states/eV per cell
total magnetization = 7.07 μB/f.u.

=====

No. 3
The following is a DFT calculation (PBE-GGA) of a relaxed SbMoHRh2 crystal.

a b c (Å): 3.9949 3.9949 4.1797
angles (deg): 90.00 90.00 90.00
Fractional coordinates of all 5 atoms:
1 Sb 0.5000 0.5000 0.5000
2 Mo 0.0000 0.0000 0.5000
3 Rh 0.0000 0.5000 0.0000
4 Rh 0.5000 0.0000 0.0000
5 H 0.0000 0.0000 0.0000

Values from the calculation:
energy = -6.666 eV/atom
D(E_F) = 3.2 states/eV per cell
total magnetization = 1.10 μB/f.u.

=====

No. 4
The following is a DFT calculation (PBE-GGA) of a relaxed Na2SrIn crystal.

a b c (Å): 3.8089 3.8089 12.7938
angles (deg): 81.44 81.44 60.00
Fractional coordinates of all 4 atoms:
1 Sr 0.0000 0.0000 0.0000
2 Na 0.0988 0.0988 0.7035
3 Na 0.9012 0.9012 0.2965
4 In 0.5000 0.5000 0.5000

Values from the calculation:
energy = -1.631 eV/atom
energy of formation from the pure elements = 133 meV/atom
D(E_F) = 3.7 states/eV per cell
total magnetization = 0.00 μB/f.u.